Model w:
Compound: Os3AuN
Source: the Alexandria database
Functional: PBE
Structure: optimized geometry

```
Os3AuN
1.0
-2.051 3.514 -0.499
-0.174 -0.675 -4.039
-3.545 -2.000 0.487
Au Os N
1 3 1
direct
0.500 0.500 0.500
0.000 0.500 0.000
0.000 0.000 0.500
0.500 0.000 0.000
0.000 0.000 0.000
```

Output
magnetic moment = 1.7 μB per formula unit
space-group type = Pm-3m (221)


Model x:
Compound: Os3AuN
Source: the Alexandria database
Functional: PBE
Structure: optimized geometry

```
Os3AuN
1.0
-1.934 4.037 1.998
-4.130 -0.720 -2.541
-1.799 -2.685 3.685
Os Au N
3 1 1
direct
0.000 0.000 0.500
0.500 0.000 0.000
0.000 0.500 0.000
0.000 0.000 0.000
0.500 0.500 0.500
```

Output
magnetic moment = 7.7 μB per formula unit
space-group type = Pm-3m (221)


Verdict on stability: model w comes out on top.


Model w:
Compound: OsAu3N
Source: the Alexandria database
Functional: PBE
Structure: optimized geometry

```
OsAu3N
1.0
4.995 0.000 0.000
0.000 4.995 0.000
0.000 0.000 4.995
Au Os N
3 1 1
direct
0.500 0.000 0.000
0.000 0.500 0.000
0.000 0.000 0.500
0.000 0.000 0.000
0.500 0.500 0.500
```

Output
magnetic moment = 0.0 μB per formula unit
space-group type = Pm-3m (221)


Model x:
Compound: OsAu3N
Source: the Alexandria database
Functional: PBE
Structure: optimized geometry

```
OsAu3N
1.0
-1.770 -2.797 -2.729
3.807 -1.912 -0.509
-0.885 -2.632 3.271
Au Os N
3 1 1
direct
0.000 0.500 0.000
0.500 0.000 0.000
0.000 0.000 0.500
0.500 0.500 0.500
0.000 0.000 0.000
```

Output
magnetic moment = 0.1 μB per formula unit
space-group type = Pm-3m (221)


Verdict on stability: model x comes out on top.